Record 1
! GGA-PBEsol CaTa2Be, optimized geometry; values from VASP
! - Symmetry: I-4m2
! - V: 17.63 Å³ per atom
&SYSTEM
  ibrav = 0, nat = 4, ntyp = 3
/
ATOMIC_SPECIES
Ta 180.95 Ta.upf
Be 9.01 Be.upf
Ca 40.08 Ca.upf
ATOMIC_POSITIONS crystal
Ta 0.000 0.000 0.000
Be 0.500 0.500 0.000
Ca 0.250 0.750 0.500
Ta 0.750 0.250 0.500
CELL_PARAMETERS angstrom
-0.922 2.842 -2.908
-0.163 -3.005 -2.885
-3.411 -0.429 3.651

Record 2
! GGA-PBEsol CaTa2Be, optimized geometry; values from VASP
! - Symmetry: I4/mmm
! - V: 18.01 Å³ per atom
&SYSTEM
  ibrav = 0, nat = 4, ntyp = 3
/
ATOMIC_SPECIES
Ta 180.95 Ta.upf
Ca 40.08 Ca.upf
Be 9.01 Be.upf
ATOMIC_POSITIONS crystal
Ta 0.250 0.750 0.500
Ta 0.750 0.250 0.500
Ca 0.000 0.000 0.000
Be 0.500 0.500 0.000
CELL_PARAMETERS angstrom
3.986 0.000 0.000
0.000 3.986 0.000
-1.993 -1.993 4.534

Record 3
! GGA-PBEsol CaTa2Be, optimized geometry; values from VASP
! - Symmetry: Pmm2
! - V: 18.91 Å³ per atom
&SYSTEM
  ibrav = 0, nat = 4, ntyp = 3
/
ATOMIC_SPECIES
Ta 180.95 Ta.upf
Be 9.01 Be.upf
Ca 40.08 Ca.upf
ATOMIC_POSITIONS crystal
Ta 0.000 0.000 0.059
Be 0.000 0.000 0.439
Ca 0.500 0.500 0.719
Ta 0.500 0.500 0.283
CELL_PARAMETERS angstrom
-0.590 1.796 -2.198
-3.416 0.113 1.010
1.462 5.742 4.299

Record 4
! GGA-PBEsol CaTaBe2, optimized geometry; values from VASP
! - Symmetry: Imm2
! - V: 16.74 Å³ per atom
&SYSTEM
  ibrav = 0, nat = 4, ntyp = 3
/
ATOMIC_SPECIES
Be 9.01 Be.upf
Ca 40.08 Ca.upf
Ta 180.95 Ta.upf
ATOMIC_POSITIONS crystal
Be 0.719 0.219 0.439
Ca 0.462 0.462 0.923
Ta 0.230 0.730 0.460
Be 0.089 0.089 0.178
CELL_PARAMETERS angstrom
-0.126 1.411 2.746
3.012 -2.276 1.309
2.116 4.139 -3.769

The ΔH_f (0 K) results, record by record, are as follows: 747; 775; 388; 457 meV/atom.
The DOS at the Fermi energy results, record by record, are as follows: 2.954; 4.247; 3.014; 3.505 states/eV/f.u..